# Rb2TeBr6Cl | Alexandria via LeMat-Bulk | GGA-PBE | optimized geometry
# Energy above the most stable polymorph in this dataset   0.0248 eV per atom
# Volume   785.49 Å³/cell
# Electronic total energy   -51.2 eV for the cell shown
# Formation energy without anion corrections   -831.7 kJ/mol of formula units
data_Rb2TeBr6Cl
_chemical_formula_sum 'Rb4 Te2 Br12 Cl2'
_cell_length_a 8.546
_cell_length_b 8.546
_cell_length_c 10.755
_cell_angle_alpha 90.00
_cell_angle_beta 90.00
_cell_angle_gamma 90.00
_space_group_name_H-M_alt 'I 4/m m m'
_space_group_IT_number 139
_space_group_name_Hall '-I 4 2'
loop_
_atom_site_label
_atom_site_type_symbol
_atom_site_fract_x
_atom_site_fract_y
_atom_site_fract_z
_atom_site_occupancy
Rb1 Rb 0.000 0.500 0.250 1
Te1 Te 0.000 0.000 0.000 1
Br1 Br 0.000 0.000 0.255 1
Br2 Br 0.226 0.226 0.000 1
Cl1 Cl 0.000 0.000 0.500 1